Model P:
! NaCuTePt, relaxed, DFT GGA-PBE; values from VASP
! SG: F-43m, No. 216
! Calculated volume (Å³/atom): 18.16
&SYSTEM
  ibrav = 0, nat = 4, ntyp = 4
/
ATOMIC_SPECIES
Cu 63.55 Cu.upf
Na 22.99 Na.upf
Pt 195.08 Pt.upf
Te 127.60 Te.upf
ATOMIC_POSITIONS crystal
Cu 0.7500 0.7500 0.7500
Na 0.5000 0.5000 0.5000
Pt 0.2500 0.2500 0.2500
Te 0.0000 0.0000 0.0000
CELL_PARAMETERS angstrom
-4.5363 -0.9740 0.6392
-3.2740 2.6139 -2.0937
-2.5293 -1.7866 -3.5137

***

Model Q:
! NaCuTePt, relaxed, DFT GGA-PBE; values from VASP
! SG: F-43m, No. 216
! Calculated volume (Å³/atom): 18.09
&SYSTEM
  ibrav = 0, nat = 4, ntyp = 4
/
ATOMIC_SPECIES
Cu 63.55 Cu.upf
Na 22.99 Na.upf
Pt 195.08 Pt.upf
Te 127.60 Te.upf
ATOMIC_POSITIONS crystal
Cu 0.5000 0.5000 0.5000
Na 0.7500 0.7500 0.7500
Pt 0.2500 0.2500 0.2500
Te 0.0000 0.0000 0.0000
CELL_PARAMETERS angstrom
2.9139 0.9714 3.5281
-0.5689 3.9175 2.4924
-1.5160 -0.2387 4.4189

***

Model R:
! NaCuTePt, relaxed, DFT GGA-PBE; values from VASP
! SG: F-43m, No. 216
! Calculated volume (Å³/atom): 18.22
&SYSTEM
  ibrav = 0, nat = 4, ntyp = 4
/
ATOMIC_SPECIES
Cu 63.55 Cu.upf
Na 22.99 Na.upf
Pt 195.08 Pt.upf
Te 127.60 Te.upf
ATOMIC_POSITIONS crystal
Cu 0.7500 0.7500 0.7500
Na 0.2500 0.2500 0.2500
Pt 0.5000 0.5000 0.5000
Te 0.0000 0.0000 0.0000
CELL_PARAMETERS angstrom
-2.3904 -3.5229 1.9641
-1.1461 0.1902 4.5424
-4.4718 0.6199 1.2655

***

In terms of stability, model Q leads; the second structure lies 2.3 kJ/mol of atoms higher.

***

Model P:
! RbNaCu, relaxed, DFT GGA-PBE; values from VASP
! SG: F-43m, No. 216
! Calculated volume (Å³/atom): 38.74
&SYSTEM
  ibrav = 0, nat = 3, ntyp = 3
/
ATOMIC_SPECIES
Cu 63.55 Cu.upf
Na 22.99 Na.upf
Rb 85.47 Rb.upf
ATOMIC_POSITIONS crystal
Cu 0.0000 0.0000 0.0000
Na 0.2500 0.2500 0.2500
Rb 0.7500 0.7500 0.7500
CELL_PARAMETERS angstrom
0.0000 3.8734 3.8734
3.8734 0.0000 3.8734
3.8734 3.8734 0.0000

***

Model Q:
! RbNaCu, relaxed, DFT GGA-PBE; values from VASP
! SG: F-43m, No. 216
! Calculated volume (Å³/atom): 41.31
&SYSTEM
  ibrav = 0, nat = 3, ntyp = 3
/
ATOMIC_SPECIES
Cu 63.55 Cu.upf
Na 22.99 Na.upf
Rb 85.47 Rb.upf
ATOMIC_POSITIONS crystal
Cu 0.2500 0.2500 0.2500
Na 0.7500 0.7500 0.7500
Rb 0.0000 0.0000 0.0000
CELL_PARAMETERS angstrom
0.0000 3.9571 3.9571
3.9571 0.0000 3.9571
3.9571 3.9571 0.0000

***

In terms of stability, model P leads; the second structure lies 23.5 kJ/mol of atoms higher.

***

Model P:
! NaTbCu3S4, relaxed, DFT GGA-PBE; values from VASP
! SG: P-43m, No. 215
! Calculated volume (Å³/atom): 22.37
&SYSTEM
  ibrav = 0, nat = 9, ntyp = 4
/
ATOMIC_SPECIES
Cu 63.55 Cu.upf
Na 22.99 Na.upf
S 32.06 S.upf
Tb 158.93 Tb.upf
ATOMIC_POSITIONS crystal
Cu 0.5000 0.5000 0.0000
Cu 0.5000 0.0000 0.5000
Cu 0.0000 0.5000 0.5000
Na 0.0000 0.0000 0.0000
S 0.2546 0.2546 0.2546
S 0.7454 0.7454 0.2546
S 0.7454 0.2546 0.7454
S 0.2546 0.7454 0.7454
Tb 0.5000 0.5000 0.5000
CELL_PARAMETERS angstrom
-4.7209 -1.7827 -2.9808
-1.5886 -3.3647 4.5283
-3.0886 4.4554 2.2270

***

Model Q:
! NaTbCu3S4, relaxed, DFT GGA-PBE; values from VASP
! SG: P2_1/m, No. 11
! Calculated volume (Å³/atom): 21.52
&SYSTEM
  ibrav = 0, nat = 18, ntyp = 4
/
ATOMIC_SPECIES
Cu 63.55 Cu.upf
Na 22.99 Na.upf
S 32.06 S.upf
Tb 158.93 Tb.upf
ATOMIC_POSITIONS crystal
Cu 0.5605 0.2500 0.2240
Cu 0.7080 0.0641 0.4785
Cu 0.7080 0.4359 0.4785
Cu 0.2920 0.5641 0.5215
Cu 0.2920 0.9359 0.5215
Cu 0.4395 0.7500 0.7760
Na 0.6739 0.7500 0.1314
Na 0.3261 0.2500 0.8686
S 0.7660 0.2500 0.0622
S 0.4004 0.5153 0.2944
S 0.4004 0.9847 0.2944
S 0.9667 0.7500 0.4333
S 0.0333 0.2500 0.5667
S 0.5996 0.0153 0.7056
S 0.5996 0.4847 0.7056
S 0.2340 0.7500 0.9378
Tb 0.0890 0.2500 0.2977
Tb 0.9110 0.7500 0.7023
CELL_PARAMETERS angstrom
5.8961 0.0000 0.0000
0.0000 7.0600 0.0000
-2.2727 0.0000 9.3049

***

In terms of stability, model Q leads; the second structure lies 10.3 kJ/mol of atoms higher.

***

Model P:
! NaCuSiSe3, relaxed, DFT GGA-PBE; values from VASP
! SG: Cmcm, No. 63
! Calculated volume (Å³/atom): 20.32
&SYSTEM
  ibrav = 0, nat = 12, ntyp = 4
/
ATOMIC_SPECIES
Cu 63.55 Cu.upf
Na 22.99 Na.upf
Se 78.96 Se.upf
Si 28.09 Si.upf
ATOMIC_POSITIONS crystal
Cu 0.4300 0.4300 0.2500
Cu 0.5700 0.5700 0.7500
Na 0.7400 0.7400 0.2500
Na 0.2600 0.2600 0.7500
Se 0.3692 0.3692 0.0319
Se 0.0554 0.0554 0.2500
Se 0.3692 0.3692 0.4681
Se 0.6308 0.6308 0.5319
Se 0.9446 0.9446 0.7500
Se 0.6308 0.6308 0.9681
Si 0.0000 0.0000 0.0000
Si 0.0000 0.0000 0.5000
CELL_PARAMETERS angstrom
0.2707 6.7029 1.7041
-3.1984 6.0246 1.1747
-1.0213 -2.4622 9.8466

***

Model Q:
! NaCuSiSe3, relaxed, DFT GGA-PBE; values from VASP
! SG: P2_1/m, No. 11
! Calculated volume (Å³/atom): 20.88
&SYSTEM
  ibrav = 0, nat = 12, ntyp = 4
/
ATOMIC_SPECIES
Cu 63.55 Cu.upf
Na 22.99 Na.upf
Se 78.96 Se.upf
Si 28.09 Si.upf
ATOMIC_POSITIONS crystal
Cu 0.0534 0.2500 0.0890
Cu 0.9466 0.7500 0.9110
Na 0.7557 0.7500 0.1930
Na 0.2443 0.2500 0.8070
Se 0.2673 0.7500 0.0758
Se 0.1041 0.2500 0.3598
Se 0.5623 0.2500 0.3664
Se 0.4377 0.7500 0.6336
Se 0.8959 0.7500 0.6402
Se 0.7327 0.2500 0.9242
Si 0.3253 0.7500 0.3554
Si 0.6747 0.2500 0.6446
CELL_PARAMETERS angstrom
7.6141 0.0000 0.0000
0.0000 3.7214 0.0000
-2.7215 0.0000 8.8429

***

In terms of stability, model Q leads; the second structure lies 7.0 kJ/mol of atoms higher.

***

Model P:
! NaTbCu3Se4, relaxed, DFT GGA-PBE; values from VASP
! SG: P-43m, No. 215
! Calculated volume (Å³/atom): 25.32
&SYSTEM
  ibrav = 0, nat = 9, ntyp = 4
/
ATOMIC_SPECIES
Cu 63.55 Cu.upf
Na 22.99 Na.upf
Se 78.96 Se.upf
Tb 158.93 Tb.upf
ATOMIC_POSITIONS crystal
Cu 0.5000 0.5000 0.0000
Cu 0.5000 0.0000 0.5000
Cu 0.0000 0.5000 0.5000
Na 0.0000 0.0000 0.0000
Se 0.2524 0.2524 0.2524
Se 0.7476 0.7476 0.2524
Se 0.7476 0.2524 0.7476
Se 0.2524 0.7476 0.7476
Tb 0.5000 0.5000 0.5000
CELL_PARAMETERS angstrom
-1.2732 0.5404 -5.9493
-1.8263 -5.8269 -0.1384
-5.6878 1.7500 1.3762

***

Model Q:
! NaTbCu3Se4, relaxed, DFT GGA-PBE; values from VASP
! SG: P2_1/m, No. 11
! Calculated volume (Å³/atom): 23.22
&SYSTEM
  ibrav = 0, nat = 18, ntyp = 4
/
ATOMIC_SPECIES
Cu 63.55 Cu.upf
Na 22.99 Na.upf
Se 78.96 Se.upf
Tb 158.93 Tb.upf
ATOMIC_POSITIONS crystal
Cu 0.3000 0.5694 0.0207
Cu 0.3000 0.9306 0.0207
Cu 0.4464 0.7500 0.2685
Cu 0.5536 0.2500 0.7315
Cu 0.7000 0.0694 0.9793
Cu 0.7000 0.4306 0.9793
Na 0.2139 0.2500 0.4104
Na 0.7861 0.7500 0.5896
Se 0.0457 0.2500 0.0817
Se 0.6179 0.0226 0.2179
Se 0.6179 0.4774 0.2179
Se 0.2548 0.7500 0.4477
Se 0.7452 0.2500 0.5523
Se 0.3821 0.5226 0.7821
Se 0.3821 0.9774 0.7821
Se 0.9543 0.7500 0.9183
Tb 0.9188 0.7500 0.1942
Tb 0.0812 0.2500 0.8058
CELL_PARAMETERS angstrom
5.9208 0.0000 0.0000
0.0000 7.4497 0.0000
-2.7358 0.0000 9.4772

***

In terms of stability, model Q leads; the second structure lies 6.7 kJ/mol of atoms higher.

***

Model P:
! NaCuSiTe3, relaxed, DFT GGA-PBE; values from VASP
! SG: P2_1/m, No. 11
! Calculated volume (Å³/atom): 25.51
&SYSTEM
  ibrav = 0, nat = 12, ntyp = 4
/
ATOMIC_SPECIES
Cu 63.55 Cu.upf
Na 22.99 Na.upf
Si 28.09 Si.upf
Te 127.60 Te.upf
ATOMIC_POSITIONS crystal
Cu 0.0527 0.2500 0.0806
Cu 0.9473 0.7500 0.9194
Na 0.7640 0.7500 0.1922
Na 0.2359 0.2500 0.8078
Si 0.3230 0.7500 0.3577
Si 0.6770 0.2500 0.6423
Te 0.2680 0.7500 0.0711
Te 0.0873 0.2500 0.3523
Te 0.5692 0.2500 0.3614
Te 0.4308 0.7500 0.6386
Te 0.9127 0.7500 0.6477
Te 0.7320 0.2500 0.9289
CELL_PARAMETERS angstrom
-2.0945 7.0452 3.3079
-2.0652 -1.9307 2.8044
8.4814 -2.6825 4.3990

***

Model Q:
! NaCuSiTe3, relaxed, DFT GGA-PBE; values from VASP
! SG: Cmcm, No. 63
! Calculated volume (Å³/atom): 25.10
&SYSTEM
  ibrav = 0, nat = 12, ntyp = 4
/
ATOMIC_SPECIES
Cu 63.55 Cu.upf
Na 22.99 Na.upf
Si 28.09 Si.upf
Te 127.60 Te.upf
ATOMIC_POSITIONS crystal
Cu 0.4238 0.4238 0.2500
Cu 0.5762 0.5762 0.7500
Na 0.7468 0.7468 0.2500
Na 0.2532 0.2532 0.7500
Si 0.0000 0.0000 0.0000
Si 0.0000 0.0000 0.5000
Te 0.3628 0.3628 0.0330
Te 0.0513 0.0513 0.2500
Te 0.3628 0.3628 0.4670
Te 0.6372 0.6372 0.5330
Te 0.9488 0.9488 0.7500
Te 0.6372 0.6372 0.9670
CELL_PARAMETERS angstrom
7.2259 -1.8831 0.0000
7.2259 1.8831 0.0000
0.0000 0.0000 11.0692

***

In terms of stability, model P leads; the second structure lies 4.4 kJ/mol of atoms higher.

***

Model P:
! NaCu3SnTe4, relaxed, DFT GGA-PBE; values from VASP
! SG: P-43m, No. 215
! Calculated volume (Å³/atom): 29.62
&SYSTEM
  ibrav = 0, nat = 9, ntyp = 4
/
ATOMIC_SPECIES
Cu 63.55 Cu.upf
Na 22.99 Na.upf
Sn 118.71 Sn.upf
Te 127.60 Te.upf
ATOMIC_POSITIONS crystal
Cu 0.5000 0.5000 0.0000
Cu 0.5000 0.0000 0.5000
Cu 0.0000 0.5000 0.5000
Na 0.0000 0.0000 0.0000
Sn 0.5000 0.5000 0.5000
Te 0.2555 0.2555 0.2555
Te 0.7445 0.7445 0.2555
Te 0.7445 0.2555 0.7445
Te 0.2555 0.7445 0.7445
CELL_PARAMETERS angstrom
-2.3430 5.7503 1.6914
-5.6403 -1.5006 -2.7113
-2.0282 -2.4695 5.5861

***

Model Q:
! NaCu3SnTe4, relaxed, DFT GGA-PBE; values from VASP
! SG: P2_1/m, No. 11
! Calculated volume (Å³/atom): 27.39
&SYSTEM
  ibrav = 0, nat = 18, ntyp = 4
/
ATOMIC_SPECIES
Cu 63.55 Cu.upf
Na 22.99 Na.upf
Sn 118.71 Sn.upf
Te 127.60 Te.upf
ATOMIC_POSITIONS crystal
Cu 0.1628 0.2500 0.3015
Cu 0.2156 0.0243 0.4957
Cu 0.2156 0.4757 0.4957
Cu 0.7844 0.5243 0.5043
Cu 0.7844 0.9757 0.5043
Cu 0.8372 0.7500 0.6985
Na 0.3213 0.7500 0.0654
Na 0.6787 0.2500 0.9346
Sn 0.6123 0.2500 0.2965
Sn 0.3877 0.7500 0.7035
Te 0.2464 0.2500 0.0587
Te 0.8960 0.5212 0.2746
Te 0.8960 0.9788 0.2746
Te 0.4656 0.7500 0.4369
Te 0.5344 0.2500 0.5631
Te 0.1040 0.0212 0.7254
Te 0.1040 0.4788 0.7254
Te 0.7536 0.7500 0.9413
CELL_PARAMETERS angstrom
6.1618 0.0000 0.0000
0.0000 8.0402 0.0000
-3.0322 0.0000 9.9498

***

In terms of stability, model Q leads; the second structure lies 12.0 kJ/mol of atoms higher.

***

Model P:
! NaSrCu, relaxed, DFT GGA-PBE; values from VASP
! SG: F-43m, No. 216
! Calculated volume (Å³/atom): 33.59
&SYSTEM
  ibrav = 0, nat = 3, ntyp = 3
/
ATOMIC_SPECIES
Cu 63.55 Cu.upf
Na 22.99 Na.upf
Sr 87.62 Sr.upf
ATOMIC_POSITIONS crystal
Cu 0.2500 0.2500 0.2500
Na 0.7500 0.7500 0.7500
Sr 0.0000 0.0000 0.0000
CELL_PARAMETERS angstrom
0.0000 3.6934 3.6934
3.6934 0.0000 3.6934
3.6934 3.6934 0.0000

***

Model Q:
! NaSrCu, relaxed, DFT GGA-PBE; values from VASP
! SG: F-43m, No. 216
! Calculated volume (Å³/atom): 30.68
&SYSTEM
  ibrav = 0, nat = 3, ntyp = 3
/
ATOMIC_SPECIES
Cu 63.55 Cu.upf
Na 22.99 Na.upf
Sr 87.62 Sr.upf
ATOMIC_POSITIONS crystal
Cu 0.2500 0.2500 0.2500
Na 0.0000 0.0000 0.0000
Sr 0.7500 0.7500 0.7500
CELL_PARAMETERS angstrom
0.0000 3.5836 3.5836
3.5836 0.0000 3.5836
3.5836 3.5836 0.0000

***

In terms of stability, model Q leads; the second structure lies 4.3 kJ/mol of atoms higher.